Record 1
{
  "formula": "CaP",
  "functional": "SCAN",
  "state": "PBEsol geometry",
  "formation_enthalpy_0k_ev_per_atom": -1.25,
  "space_group": "P-62m",
  "total_magnetization_mub_per_fu": 0.00,
  "vol_a3_per_atom": 23.35,
  "lattice": [[-0.3005, -1.3270, -5.4745], [3.3546, -6.6387, 1.4250], [-7.5472, 0.5657, 0.2772]],
  "species": ["P", "P", "P", "P", "P", "P", "Ca", "Ca", "Ca", "Ca", "Ca", "Ca"],
  "frac_coords": [[0.6981, 0.0000, 0.0000], [0.3019, 0.0000, 0.0000], [0.7965, 0.3333, 0.6667], [0.2035, 0.3333, 0.6667], [0.2035, 0.6667, 0.3333], [0.7965, 0.6667, 0.3333], [0.0000, 0.6908, 0.0000], [0.0000, 0.0000, 0.6908], [0.0000, 0.3092, 0.3092], [0.5000, 0.3566, 0.0000], [0.5000, 0.0000, 0.3566], [0.5000, 0.6434, 0.6434]]
}

Record 2
{
  "formula": "In2FeCl",
  "functional": "SCAN",
  "state": "PBEsol geometry",
  "space_group": "Immm",
  "e_above_lowest_polymorph_mev_per_atom": 0.0,
  "e_form_raw_ev_per_atom": 0.072,
  "total_magnetization_mub_per_fu": 2.86,
  "vol_a3_per_atom": 20.88,
  "lattice": [[2.9482, 0.0000, 0.0000], [0.0000, 4.1789, 0.0000], [-1.4741, -2.0894, 6.7777]],
  "species": ["Cl", "Fe", "In", "In"],
  "frac_coords": [[0.5000, 0.0000, 0.0000], [0.0000, 0.5000, 0.0000], [0.6791, 0.6791, 0.3582], [0.3209, 0.3209, 0.6418]]
}

Record 3
{
  "formula": "LiMnF3",
  "functional": "SCAN",
  "state": "PBEsol geometry",
  "space_group": "Pnma",
  "e_above_lowest_polymorph_mev_per_atom": 0.0,
  "e_form_raw_ev_per_atom": -2.978,
  "total_magnetization_mub_per_fu": 5.00,
  "vol_a3_per_atom": 10.07,
  "lattice": [[4.9778, 0.0000, 0.0000], [0.0000, 5.3232, 0.0000], [0.0000, 0.0000, 7.5982]],
  "species": ["Li", "Li", "Li", "Li", "Mn", "Mn", "Mn", "Mn", "F", "F", "F", "F", "F", "F", "F", "F", "F", "F", "F", "F"],
  "frac_coords": [[0.5000, 0.0000, 0.0000], [0.5000, 0.0000, 0.5000], [0.0000, 0.5000, 0.5000], [0.0000, 0.5000, 0.0000], [0.9639, 0.0784, 0.2500], [0.4639, 0.4216, 0.7500], [0.5361, 0.5784, 0.2500], [0.0361, 0.9216, 0.7500], [0.6465, 0.0640, 0.7500], [0.1908, 0.1924, 0.9240], [0.1908, 0.1924, 0.5760], [0.6908, 0.3076, 0.0760], [0.6908, 0.3076, 0.4240], [0.1465, 0.4360, 0.2500], [0.8535, 0.5640, 0.7500], [0.3092, 0.6924, 0.9240], [0.3092, 0.6924, 0.5760], [0.8092, 0.8076, 0.0760], [0.8092, 0.8076, 0.4240], [0.3535, 0.9360, 0.2500]]
}

Record 4
{
  "formula": "TaRh2W",
  "functional": "SCAN",
  "state": "PBEsol geometry",
  "formation_enthalpy_0k_ev_per_atom": -0.36,
  "space_group": "Cmmm",
  "e_above_lowest_polymorph_mev_per_atom": 0.0,
  "total_magnetization_mub_per_fu": 0.00,
  "vol_a3_per_atom": 14.86,
  "lattice": [[-1.6775, -1.6366, -1.4892], [-0.9245, -2.5846, 3.8817], [-3.1830, 3.5201, -0.2829]],
  "species": ["Rh", "Rh", "Ta", "W"],
  "frac_coords": [[0.0000, 0.0000, 0.5000], [0.0000, 0.5000, 0.0000], [0.5000, 0.5000, 0.5000], [0.5000, 0.0000, 0.0000]]
}